one) Compound: Pm4Nd3Th2
Source: Alexandria via LeMat-Bulk
Functional: GGA-PBE
Structure: optimized geometry

Cell: 7.1827 8.6092 13.7238 Å, 89.72 130.87 77.92°
Closest atoms and distances in Å follow each position.
Sites, in units of the cell vectors:
1 Pm 0.6219 0.8315 0.2643  5 Pm 3.57-3.81, 6 Nd 3.58-3.83, 2 Th 3.75-3.84
2 Pm 0.9692 0.8345 0.9415  3 Pm 3.25-3.51, 2 Th 3.43-3.47, 2 Nd 3.59
3 Pm 0.3781 0.1685 0.7357  5 Pm 3.57-3.81, 6 Nd 3.58-3.83, 2 Th 3.75-3.84
4 Pm 0.0308 0.1655 0.0585  3 Pm 3.25-3.51, 2 Th 3.43-3.47, 2 Nd 3.59
5 Pm 0.9579 0.1586 0.3934  4 Th 3.52-3.68, 4 Nd 3.53-3.81, 4 Pm 3.57-3.77
6 Pm 0.6657 0.5240 0.8367  5 Pm 3.43-3.81, 3 Nd 3.52-3.80, 4 Th 3.59-3.76
7 Pm 0.0421 0.8414 0.6066  4 Th 3.52-3.68, 4 Nd 3.53-3.81, 4 Pm 3.57-3.77
8 Pm 0.3343 0.4760 0.1633  5 Pm 3.43-3.81, 3 Nd 3.52-3.80, 4 Th 3.59-3.76
9 Nd 0.1333 0.8284 0.2710  3 Th 3.54-3.86, 6 Pm 3.58-3.85, 4 Nd 3.71-3.80
10 Nd 0.4782 0.8308 0.9481  1 Nd 3.23, 2 Th 3.37-3.48, 4 Pm 3.52-3.59
11 Nd 0.8667 0.1716 0.7290  3 Th 3.54-3.86, 6 Pm 3.58-3.85, 4 Nd 3.71-3.80
12 Nd 0.5218 0.1692 0.0519  1 Nd 3.23, 2 Th 3.37-3.48, 4 Pm 3.52-3.59
13 Nd 0.2483 0.4979 0.4938  3 Th 3.51-3.78, 4 Nd 3.51-3.74, 5 Pm 3.61-3.83
14 Nd 0.7517 0.5021 0.5062  3 Th 3.51-3.78, 4 Nd 3.51-3.74, 5 Pm 3.61-3.83
15 Th 0.4432 0.1603 0.3901  6 Pm 3.43-3.75, 4 Nd 3.54-3.78, 2 Th 3.62-3.66
16 Th 0.1692 0.5267 0.8403  3 Nd 3.37-3.51, 5 Pm 3.47-3.76, 2 Th 3.66-3.72
17 Th 0.5568 0.8397 0.6099  6 Pm 3.43-3.75, 4 Nd 3.54-3.78, 2 Th 3.62-3.66
18 Th 0.8308 0.4733 0.1597  3 Nd 3.37-3.51, 5 Pm 3.47-3.76, 2 Th 3.66-3.72

D(E_F) (states/eV/atom): 1.426
Magnetization (Bohr magnetons per cell): 0.0
Symmetry: P-1, No. 2

***

two) Compound: Pm4Nd3Th2
Source: Alexandria via LeMat-Bulk
Functional: GGA-PBE
Structure: optimized geometry

Cell: 3.6147 3.6147 27.4233 Å, 90.00 90.00 120.00°
Closest atoms and distances in Å follow each position.
Sites, in units of the cell vectors:
1 Pm 0.0000 0.0000 0.5427  9 Pm 3.61-3.63, 3 Nd 3.68
2 Pm 0.6667 0.3333 0.4344  9 Pm 3.61-3.63, 3 Nd 3.73
3 Pm 0.6667 0.3333 0.2147  1 Th 3.38, 3 Nd 3.60, 6 Pm 3.61
4 Pm 0.0000 0.0000 0.7649  3 Th 3.61, 6 Pm 3.61, 3 Nd 3.71
5 Nd 0.0000 0.0000 0.9820  6 Nd 3.61, 6 Th 3.66
6 Nd 0.0000 0.0000 0.3216  6 Pm 3.60-3.73, 6 Nd 3.61
7 Nd 0.6667 0.3333 0.6532  6 Nd 3.61, 6 Pm 3.68-3.71
8 Th 0.6667 0.3333 0.0915  1 Pm 3.38, 6 Th 3.61, 3 Nd 3.66
9 Th 0.6667 0.3333 0.8721  3 Pm 3.61, 6 Th 3.61, 3 Nd 3.66

D(E_F) (states/eV/atom): 1.799
Magnetization (Bohr magnetons per cell): 0.0
Symmetry: P3m1, No. 156

***

So which one wins? Going from most stable to least: one), two).

***

one) Compound: PmNd3Th2
Source: Alexandria via LeMat-Bulk
Functional: GGA-PBE
Structure: optimized geometry

Cell: 6.9806 9.3956 9.3956 Å, 41.85 90.00 90.00°
Closest atoms and distances in Å follow each position.
Sites, in units of the cell vectors:
1 Pm 0.7500 0.2391 0.7609  6 Nd 3.27-3.60, 4 Th 3.58
2 Pm 0.2500 0.7609 0.2391  6 Nd 3.27-3.60, 4 Th 3.58
3 Nd 0.2500 0.2480 0.7520  4 Pm 3.27-3.49, 2 Nd 3.58, 4 Th 3.61
4 Nd 0.2500 0.6812 0.6776  6 Th 3.42-3.82, 3 Nd 3.49-3.58, 1 Pm 3.60
5 Nd 0.7500 0.6776 0.6812  6 Th 3.42-3.82, 3 Nd 3.49-3.58, 1 Pm 3.60
6 Nd 0.2500 0.3224 0.3188  6 Th 3.42-3.82, 3 Nd 3.49-3.58, 1 Pm 3.60
7 Nd 0.7500 0.3188 0.3224  6 Th 3.42-3.82, 3 Nd 3.49-3.58, 1 Pm 3.60
8 Nd 0.7500 0.7520 0.2480  4 Pm 3.27-3.49, 2 Nd 3.58, 4 Th 3.61
9 Th 0.0000 0.8468 0.8468  8 Nd 3.42-3.82, 2 Th 3.49, 2 Pm 3.58
10 Th 0.5000 0.8468 0.8468  8 Nd 3.42-3.82, 2 Th 3.49, 2 Pm 3.58
11 Th 0.0000 0.1532 0.1532  8 Nd 3.42-3.82, 2 Th 3.49, 2 Pm 3.58
12 Th 0.5000 0.1532 0.1532  8 Nd 3.42-3.82, 2 Th 3.49, 2 Pm 3.58

D(E_F) (states/eV/atom): 1.787
Magnetization (Bohr magnetons per cell): 0.0
Symmetry: Cmcm, No. 63

***

two) Compound: PmNd3Th2
Source: Alexandria via LeMat-Bulk
Functional: GGA-PBE
Structure: optimized geometry

Cell: 5.1226 5.1807 8.1037 Å, 90.00 108.43 90.00°
Closest atoms and distances in Å follow each position.
Sites, in units of the cell vectors:
1 Pm 0.0000 0.0000 0.0000  8 Nd 3.64-3.65, 4 Th 3.67
2 Nd 0.3306 0.0000 0.6611  4 Nd 3.56-3.67, 6 Th 3.59-3.64, 2 Pm 3.65
3 Nd 0.6694 0.0000 0.3389  4 Nd 3.56-3.67, 6 Th 3.59-3.64, 2 Pm 3.65
4 Nd 0.5000 0.5000 0.0000  4 Pm 3.64, 4 Th 3.65, 4 Nd 3.67
5 Th 0.1692 0.5000 0.3384  2 Th 3.57, 8 Nd 3.59-3.65, 2 Pm 3.67
6 Th 0.8308 0.5000 0.6616  2 Th 3.57, 8 Nd 3.59-3.65, 2 Pm 3.67

D(E_F) (states/eV/atom): 1.473
Magnetization (Bohr magnetons per cell): 0.0
Symmetry: Cmmm, No. 65

***

So which one wins? Going from most stable to least: two), one).

***

one) Compound: Pm4NdTh
Source: Alexandria via LeMat-Bulk
Functional: GGA-PBE
Structure: optimized geometry

Cell: 6.5824 6.5824 11.0274 Å, 90.00 90.00 120.20°
Closest atoms and distances in Å follow each position.
Sites, in units of the cell vectors:
1 Pm 0.6660 0.3340 0.9374  3 Th 3.85-3.87, 10 Pm 3.87-4.13, 3 Nd 3.88-3.91
2 Pm 0.3340 0.6660 0.4374  3 Th 3.85-3.87, 10 Pm 3.87-4.13, 3 Nd 3.88-3.91
3 Pm 0.3340 0.6660 0.0626  3 Th 3.85-3.87, 10 Pm 3.87-4.13, 3 Nd 3.88-3.91
4 Pm 0.6660 0.3340 0.5626  3 Th 3.85-3.87, 10 Pm 3.87-4.13, 3 Nd 3.88-3.91
5 Pm 0.3397 0.1715 0.2500  2 Pm 3.21-3.35, 2 Nd 3.22-3.36, 2 Th 3.37
6 Pm 0.6603 0.8285 0.7500  2 Pm 3.21-3.35, 2 Nd 3.22-3.36, 2 Th 3.37
7 Pm 0.1715 0.3397 0.7500  2 Pm 3.21-3.35, 2 Nd 3.22-3.36, 2 Th 3.37
8 Pm 0.8285 0.6603 0.2500  2 Pm 3.21-3.35, 2 Nd 3.22-3.36, 2 Th 3.37
9 Nd 0.1715 0.8285 0.7500  4 Pm 3.22-3.36, 2 Th 3.38
10 Nd 0.8285 0.1715 0.2500  4 Pm 3.22-3.36, 2 Th 3.38
11 Th 0.0000 0.0000 0.0000  4 Pm 3.37, 2 Nd 3.38
12 Th 0.0000 0.0000 0.5000  4 Pm 3.37, 2 Nd 3.38

D(E_F) (states/eV/atom): 2.117
Magnetization (Bohr magnetons per cell): 0.0
Symmetry: Cmcm, No. 63

***

two) Compound: Pm4NdTh
Source: Alexandria via LeMat-Bulk
Functional: GGA-PBE
Structure: optimized geometry

Cell: 3.6256 9.6657 12.0924 Å, 148.66 90.27 100.75°
Closest atoms and distances in Å follow each position.
Sites, in units of the cell vectors:
1 Pm 0.8279 0.6536 0.4923  7 Pm 3.57-3.68, 3 Th 3.59-3.66, 2 Nd 3.68-3.69
2 Pm 0.1721 0.3463 0.5076  7 Pm 3.57-3.68, 3 Th 3.59-3.66, 2 Nd 3.68-3.69
3 Pm 0.3378 0.6756 0.0015  2 Th 3.59, 7 Pm 3.60-3.77, 3 Nd 3.66-3.69
4 Pm 0.6621 0.3244 0.9985  2 Th 3.59, 7 Pm 3.60-3.77, 3 Nd 3.66-3.69
5 Nd 0.5000 0.0000 0.5000  2 Nd 3.63, 10 Pm 3.66-3.69
6 Th 0.0000 0.0000 0.0000  10 Pm 3.59-3.66, 2 Th 3.63

D(E_F) (states/eV/atom): 1.538
Magnetization (Bohr magnetons per cell): 0.0
Symmetry: P-1, No. 2

***

So which one wins? Going from most stable to least: two), one).

***

one) Compound: PmNdTh
Source: Alexandria via LeMat-Bulk
Functional: GGA-PBE
Structure: optimized geometry

Cell: 3.4937 8.9419 6.5320 Å, 90.00 90.00 90.00°
Closest atoms and distances in Å follow each position.
Sites, in units of the cell vectors:
1 Nd 0.5000 0.1846 0.2500  2 Nd 3.49, 6 Th 3.49-3.71, 4 Pm 3.70
2 Nd 0.5000 0.8154 0.7500  2 Nd 3.49, 6 Th 3.49-3.71, 4 Pm 3.70
3 Th 0.0000 0.1538 0.7500  2 Th 3.49, 6 Nd 3.49-3.71, 2 Pm 3.50
4 Th 0.0000 0.8462 0.2500  2 Th 3.49, 6 Nd 3.49-3.71, 2 Pm 3.50
5 Pm 0.0000 0.5000 0.5000  4 Pm 3.27-3.49, 2 Th 3.50
6 Pm 0.0000 0.5000 0.0000  4 Pm 3.27-3.49, 2 Th 3.50

D(E_F) (states/eV/atom): 1.544
Magnetization (Bohr magnetons per cell): 0.0
Symmetry: Pmma, No. 51

***

two) Compound: PmNdTh
Source: Alexandria via LeMat-Bulk
Functional: GGA-PBE
Structure: optimized geometry

Cell: 3.5148 5.7897 5.7897 Å, 120.00 90.00 90.00°
Closest atoms and distances in Å follow each position.
Sites, in units of the cell vectors:
1 Nd 0.6666 0.6667 0.3333  2 Nd 3.51, 6 Pm 3.78, 6 Th 3.78
2 Th 0.1664 0.3333 0.6667  3 Pm 3.34, 2 Th 3.51
3 Pm 0.1670 0.0000 0.0000  3 Th 3.34, 2 Pm 3.51

D(E_F) (states/eV/atom): 1.843
Magnetization (Bohr magnetons per cell): 0.0
Symmetry: P-6m2, No. 187

***

So which one wins? Going from most stable to least: two), one).

***

one) Compound: PmNdTh
Source: Alexandria via LeMat-Bulk
Functional: GGA-PBE
Structure: optimized geometry

Cell: 3.6405 3.6405 8.1244 Å, 102.95 102.95 90.00°
Closest atoms and distances in Å follow each position.
Sites, in units of the cell vectors:
1 Nd 0.0087 0.0087 0.0173  4 Th 3.55, 4 Nd 3.64, 4 Pm 3.84
2 Th 0.6672 0.6672 0.3343  4 Pm 3.53, 4 Nd 3.55, 4 Th 3.64
3 Pm 0.3242 0.3242 0.6484  4 Th 3.53, 4 Pm 3.64, 4 Nd 3.84

D(E_F) (states/eV/atom): 1.261
Magnetization (Bohr magnetons per cell): 0.0
Symmetry: I4mm, No. 107

***

two) Compound: PmNdTh
Source: Alexandria via LeMat-Bulk
Functional: GGA-PBE
Structure: optimized geometry

Cell: 3.6291 3.6291 15.4890 Å, 90.00 90.00 89.99°
Closest atoms and distances in Å follow each position.
Sites, in units of the cell vectors:
1 Pm 0.3180 0.3180 0.5112  4 Th 3.60, 4 Pm 3.63, 4 Nd 3.74
2 Pm 0.8181 0.8181 0.9916  4 Th 3.60, 4 Pm 3.63, 4 Nd 3.73-3.74
3 Nd 0.3174 0.3174 0.1669  8 Nd 3.63-3.66, 4 Pm 3.73-3.74
4 Nd 0.8174 0.8174 0.3357  8 Nd 3.63-3.66, 4 Pm 3.74
5 Th 0.8182 0.8182 0.6740  8 Th 3.51-3.63, 4 Pm 3.60
6 Th 0.3183 0.3183 0.8289  8 Th 3.51-3.63, 4 Pm 3.60

D(E_F) (states/eV/atom): 1.404
Magnetization (Bohr magnetons per cell): 0.0
Symmetry: P4/nmm, No. 129

***

So which one wins? Going from most stable to least: two), one).

***

one) Compound: PmNd2Th
Source: Alexandria via LeMat-Bulk
Functional: GGA-PBE
Structure: optimized geometry

Cell: 5.7878 5.7878 5.7878 Å, 60.00 60.00 60.00°
Closest atoms and distances in Å follow each position.
Sites, in units of the cell vectors:
1 Nd 0.2500 0.2500 0.2500  4 Th 3.54, 4 Pm 3.54
2 Nd 0.7500 0.7500 0.7500  4 Th 3.54, 4 Pm 3.54
3 Th 0.0000 0.0000 0.0000  8 Nd 3.54
4 Pm 0.5000 0.5000 0.5000  8 Nd 3.54

D(E_F) (states/eV/atom): 2.754
Magnetization (Bohr magnetons per cell): 0.0
Symmetry: Fm-3m, No. 225

***

two) Compound: PmNd2Th
Source: Alexandria via LeMat-Bulk
Functional: GGA-PBE
Structure: optimized geometry

Cell: 3.6549 3.6549 12.0347 Å, 81.27 81.27 60.00°
Closest atoms and distances in Å follow each position.
Sites, in units of the cell vectors:
1 Pm 0.5000 0.5000 0.5000  6 Pm 3.65, 6 Nd 3.70-3.71
2 Nd 0.0810 0.0810 0.7571  3 Th 3.57, 6 Nd 3.65, 3 Pm 3.71
3 Nd 0.2523 0.2523 0.2431  3 Th 3.57, 6 Nd 3.65, 3 Pm 3.70
4 Th 0.6668 0.6668 0.9997  6 Nd 3.57, 6 Th 3.65

D(E_F) (states/eV/atom): 1.558
Magnetization (Bohr magnetons per cell): 0.0
Symmetry: R3m, No. 160

***

So which one wins? Going from most stable to least: two), one).